Compound: NbReSN2
Source: the Alexandria database
Functional: GGA-PBE
Structure: relaxed

Cell: 3.9716 3.9716 5.1846 Å, 90.00 90.00 90.00°
Fractional positions:
Nb (0.0000, 0.0000, 0.0000)
Re (0.5000, 0.5000, 0.5000)
S (0.0000, 0.0000, 0.5000)
N (0.0000, 0.5000, 0.0000)
N (0.5000, 0.0000, 0.0000)

Results
SG: P4/mmm (123)
E_form (uncorrected): 1087 meV/atom
distance to the lowest polymorph of the same formula: 2.61 eV/f.u.